1.
DFT (PBE) results for Ca2AlCl after structural relaxation.

**Relative energy among the computed polymorphs**: 357.8 meV per atom
**Calculated total energy**: -11.9 eV/cell
**Magnetization**: 0.0000 μB per atom
**Formation energy (no corrections)**: -0.580 eV/atom

a b c (Å): 3.537 3.537 10.726
angles (deg): 90.00 90.00 90.00
Space group P4mm (No. 99)
One atom of each set of equivalent atoms:
Ca  0.000  0.000  0.000 x1
Ca  0.500  0.500  0.300 x1
Al  0.500  0.500  0.821 x1
Cl  0.000  0.000  0.426 x1

2.
DFT (PBE) results for Ca2AlCl after structural relaxation.

**Relative energy among the computed polymorphs**: 875.9 meV per atom
**Calculated total energy**: -39.4 eV/cell
**Magnetization**: 0.0001 μB per atom
**Formation energy (no corrections)**: -0.062 eV/atom

a b c (Å): 7.740 7.740 7.740
angles (deg): 90.00 90.00 90.00
Space group F-43m (No. 216)
One atom of each set of equivalent atoms:
Ca  0.000  0.000  0.000 x4
Ca  0.250  0.250  0.250 x4
Al  0.000  0.000  0.500 x4
Cl  0.250  0.250  0.750 x4

3.
DFT (PBE) results for CaAl2Cl after structural relaxation.

**Relative energy among the computed polymorphs**: 591.7 meV per atom
**Calculated total energy**: -11.3 eV/cell
**Magnetization**: 0.0000 μB per atom
**Formation energy (no corrections)**: -0.003 eV/atom

a b c (Å): 3.259 3.259 8.629
angles (deg): 90.00 90.00 90.00
Space group P4/mmm (No. 123)
One atom of each set of equivalent atoms:
Ca  0.000  0.000  0.000 x1
Al  0.500  0.500  0.260 x2
Cl  0.000  0.000  0.500 x1

4.
DFT (PBE) results for CaAl2Cl after structural relaxation.

**Relative energy among the computed polymorphs**: 16.6 meV per atom
**Calculated total energy**: -27.3 eV/cell
**Magnetization**: 0.0000 μB per atom
**Formation energy (no corrections)**: -0.578 eV/atom

a b c (Å): 8.194 3.771 8.479
angles (deg): 90.00 111.72 90.00
Space group Cm (No. 8)
One atom of each set of equivalent atoms:
Ca  0.000  0.000  0.000 x2
Al  0.016  0.500  0.359 x2
Al  0.288  0.500  0.290 x2
Cl  0.252  0.000  0.833 x2

5.
DFT (PBE) results for CaAlCl after structural relaxation.

**Relative energy among the computed polymorphs**: 0.0 meV per atom
**Calculated total energy**: -19.5 eV/cell
**Magnetization**: 0.0000 μB per atom
**Formation energy (no corrections)**: -0.721 eV/atom

a b c (Å): 3.371 3.371 16.774
angles (deg): 90.00 90.00 90.00
Space group I4mm (No. 107)
One atom of each set of equivalent atoms:
Ca  0.000  0.000  0.000 x2
Al  0.000  0.000  0.362 x2
Cl  0.000  0.000  0.589 x2

6.
DFT (PBE) results for CaAl2Cl after structural relaxation.

**Relative energy among the computed polymorphs**: 63.9 meV per atom
**Calculated total energy**: -53.8 eV/cell
**Magnetization**: 0.0000 μB per atom
**Formation energy (no corrections)**: -0.531 eV/atom

a b c (Å): 3.879 3.879 26.441
angles (deg): 90.00 90.00 90.00
Space group I-42d (No. 122)
One atom of each set of equivalent atoms:
Ca  0.000  0.000  0.000 x4
Al  0.238  0.250  0.125 x8
Cl  0.000  0.000  0.500 x4

7.
DFT (PBE) results for CaAl2Cl after structural relaxation.

**Relative energy among the computed polymorphs**: 0.0 meV per atom
**Calculated total energy**: -13.7 eV/cell
**Magnetization**: 0.0000 μB per atom
**Formation energy (no corrections)**: -0.595 eV/atom

a b c (Å): 3.530 3.614 8.385
angles (deg): 90.00 90.00 90.00
Space group Pmm2 (No. 25)
One atom of each set of equivalent atoms:
Ca  0.000  0.000  0.000 x1
Al  0.000  0.000  0.394 x1
Al  0.500  0.500  0.276 x1
Cl  0.500  0.500  0.841 x1

8.
DFT (PBE) results for Ca2AlCl after structural relaxation.

**Relative energy among the computed polymorphs**: 68.7 meV per atom
**Calculated total energy**: -39.2 eV/cell
**Magnetization**: 0.0000 μB per atom
**Formation energy (no corrections)**: -0.869 eV/atom

a b c (Å): 3.9562 3.9562 24.3612
angles (deg): 90.00 90.00 120.00
Space group R-3m (No. 166, hexagonal axes)
One atom of each set of equivalent atoms:
Ca  0.0000  0.0000  0.2484 x6
Al  0.0000  0.0000  0.0000 x3
Cl  0.0000  0.0000  0.5000 x3

9.
DFT (PBE) results for Ca2AlCl after structural relaxation.

**Relative energy among the computed polymorphs**: 169.5 meV per atom
**Calculated total energy**: -25.3 eV/cell
**Magnetization**: 0.0000 μB per atom
**Formation energy (no corrections)**: -0.768 eV/atom

a b c (Å): 3.664 3.797 16.365
angles (deg): 90.00 90.00 90.00
Space group Imm2 (No. 44)
One atom of each set of equivalent atoms:
Ca  0.000  0.000  0.000 x2
Ca  0.000  0.500  0.253 x2
Al  0.000  0.500  0.855 x2
Cl  0.000  0.000  0.594 x2

10.
DFT (PBE) results for CaAlCl after structural relaxation.

**Relative energy among the computed polymorphs**: 200.1 meV per atom
**Calculated total energy**: -9.2 eV/cell
**Magnetization**: 0.0000 μB per atom
**Formation energy (no corrections)**: -0.521 eV/atom

a b c (Å): 4.8146 4.8146 4.1390
angles (deg): 90.00 90.00 120.00
Space group P-6m2 (No. 187)
One atom of each set of equivalent atoms:
Ca  0.0000  0.0000  0.0000 x1
Al  0.6667  0.3333  0.5000 x1
Cl  0.3333  0.6667  0.0000 x1

11.
DFT (PBE) results for CaAlCl2 after structural relaxation.

**Relative energy among the computed polymorphs**: 215.0 meV per atom
**Calculated total energy**: -13.6 eV/cell
**Magnetization**: 0.1226 μB per atom
**Formation energy (no corrections)**: -1.039 eV/atom

a b c (Å): 3.471 3.471 8.435
angles (deg): 90.00 90.00 90.00
Space group P4mm (No. 99)
One atom of each set of equivalent atoms:
Ca  0.000  0.000  0.000 x1
Al  0.500  0.500  0.731 x1
Cl  0.000  0.000  0.554 x1
Cl  0.500  0.500  0.160 x1

12.
DFT (PBE) results for CaAlCl2 after structural relaxation.

**Relative energy among the computed polymorphs**: 202.3 meV per atom
**Calculated total energy**: -13.6 eV/cell
**Magnetization**: 0.2299 μB per atom
**Formation energy (no corrections)**: -1.051 eV/atom

a b c (Å): 5.525 3.963 5.568
angles (deg): 90.00 99.74 90.00
Space group P2/m (No. 10)
One atom of each set of equivalent atoms:
Ca  0.000  0.000  0.000 x1
Al  0.500  0.000  0.500 x1
Cl  0.219  0.500  0.779 x2

13.
DFT (PBE) results for CaAlCl after structural relaxation.

**Relative energy among the computed polymorphs**: 15.4 meV per atom
**Calculated total energy**: -9.7 eV/cell
**Magnetization**: 0.0000 μB per atom
**Formation energy (no corrections)**: -0.706 eV/atom

a b c (Å): 3.6648 3.6648 8.3119
angles (deg): 90.00 90.00 120.00
Space group P3m1 (No. 156)
One atom of each set of equivalent atoms:
Ca  0.0000  0.0000  0.0000 x1
Al  0.3333  0.6667  0.7059 x1
Cl  0.6667  0.3333  0.1990 x1

14.
DFT (PBE) results for CaAl2Cl after structural relaxation.

**Relative energy among the computed polymorphs**: 326.3 meV per atom
**Calculated total energy**: -49.6 eV/cell
**Magnetization**: 0.0001 μB per atom
**Formation energy (no corrections)**: -0.269 eV/atom

a b c (Å): 7.099 7.099 7.099
angles (deg): 90.00 90.00 90.00
Space group F-43m (No. 216)
One atom of each set of equivalent atoms:
Ca  0.000  0.000  0.000 x4
Al  0.000  0.000  0.500 x4
Al  0.250  0.250  0.750 x4
Cl  0.250  0.250  0.250 x4

15.
DFT (PBE) results for CaAlCl2 after structural relaxation.

**Relative energy among the computed polymorphs**: 358.5 meV per atom
**Calculated total energy**: -26.0 eV/cell
**Magnetization**: 0.0000 μB per atom
**Formation energy (no corrections)**: -0.895 eV/atom

a b c (Å): 6.713 6.720 4.192
angles (deg): 90.00 90.00 90.00
Space group Cmmm (No. 65)
One atom of each set of equivalent atoms:
Ca  0.000  0.000  0.000 x2
Al  0.000  0.500  0.000 x2
Cl  0.250  0.250  0.500 x4

16.
DFT (PBE) results for CaAlCl2 after structural relaxation.

**Relative energy among the computed polymorphs**: 238.7 meV per atom
**Calculated total energy**: -13.5 eV/cell
**Magnetization**: 0.0006 μB per atom
**Formation energy (no corrections)**: -1.015 eV/atom

a b c (Å): 3.649 4.350 6.159
angles (deg): 90.00 90.00 90.00
Space group Pmmm (No. 47)
One atom of each set of equivalent atoms:
Ca  0.000  0.000  0.000 x1
Al  0.500  0.000  0.500 x1
Cl  0.000  0.500  0.500 x1
Cl  0.500  0.500  0.000 x1

17.
DFT (PBE) results for CaAlCl after structural relaxation.

**Relative energy among the computed polymorphs**: 555.3 meV per atom
**Calculated total energy**: -32.4 eV/cell
**Magnetization**: 0.1928 μB per atom
**Formation energy (no corrections)**: -0.166 eV/atom

a b c (Å): 7.252 7.252 7.252
angles (deg): 90.00 90.00 90.00
Space group F-43m (No. 216)
One atom of each set of equivalent atoms:
Ca  0.000  0.000  0.000 x4
Al  0.250  0.250  0.750 x4
Cl  0.250  0.250  0.250 x4

18.
DFT (PBE) results for Ca2AlCl after structural relaxation.

**Relative energy among the computed polymorphs**: 407.8 meV per atom
**Calculated total energy**: -35.1 eV/cell
**Magnetization**: 0.0000 μB per atom
**Formation energy (no corrections)**: -0.530 eV/atom

a b c (Å): 3.7800 3.7800 34.0504
angles (deg): 90.00 90.00 120.00
Space group R3m (No. 160, hexagonal axes)
One atom of each set of equivalent atoms:
Ca  0.0000  0.0000  0.0000 x3
Ca  0.0000  0.0000  0.2352 x3
Al  0.0000  0.0000  0.5006 x3
Cl  0.0000  0.0000  0.7140 x3

19.
DFT (PBE) results for CaAlCl2 after structural relaxation.

**Relative energy among the computed polymorphs**: 291.1 meV per atom
**Calculated total energy**: -26.6 eV/cell
**Magnetization**: 0.2389 μB per atom
**Formation energy (no corrections)**: -0.963 eV/atom

a b c (Å): 4.068 4.068 12.003
angles (deg): 90.00 90.00 90.00
Space group I-4m2 (No. 119)
One atom of each set of equivalent atoms:
Ca  0.000  0.000  0.000 x2
Al  0.000  0.500  0.250 x2
Cl  0.000  0.000  0.500 x2
Cl  0.000  0.500  0.750 x2

20.
DFT (PBE) results for Ca2AlCl after structural relaxation.

**Relative energy among the computed polymorphs**: 374.6 meV per atom
**Calculated total energy**: -23.7 eV/cell
**Magnetization**: 0.0000 μB per atom
**Formation energy (no corrections)**: -0.563 eV/atom

a b c (Å): 4.274 4.274 12.797
angles (deg): 90.00 90.00 90.00
Space group I-4m2 (No. 119)
One atom of each set of equivalent atoms:
Ca  0.000  0.000  0.000 x2
Ca  0.000  0.500  0.250 x2
Al  0.000  0.000  0.500 x2
Cl  0.000  0.500  0.750 x2